# GGA-PBE Ba2Y2Cd, relaxed
data_Ba2Y2Cd
_chemical_formula_sum 'Ba4 Y4 Cd2'
_space_group_name_H-M_alt 'P 4/m b m'
_space_group_IT_number 127
_space_group_name_Hall '-P 4 2ab'
_cell_length_a 8.1749
_cell_length_b 8.1749
_cell_length_c 6.1733
_cell_angle_alpha 90.00
_cell_angle_beta 90.00
_cell_angle_gamma 90.00
loop_
_atom_site_label
_atom_site_type_symbol
_atom_site_fract_x
_atom_site_fract_y
_atom_site_fract_z
_atom_site_occupancy
Ba1 Ba 0.1707 0.3293 0.0000 1
Y1 Y 0.1482 0.6482 0.5000 1
Cd1 Cd 0.0000 0.0000 0.5000 1
# calculated volume: 41.26 A^3/atom
# ΔE_f: 167 meV per atom



# GGA-PBE Re2WBr, relaxed
data_Re2WBr
_chemical_formula_sum 'Re2 W1 Br1'
_space_group_name_H-M_alt 'P 4/m m m'
_space_group_IT_number 123
_space_group_name_Hall '-P 4 2'
_cell_length_a 4.5881
_cell_length_b 4.5881
_cell_length_c 3.0377
_cell_angle_alpha 90.00
_cell_angle_beta 90.00
_cell_angle_gamma 90.00
loop_
_atom_site_label
_atom_site_type_symbol
_atom_site_fract_x
_atom_site_fract_y
_atom_site_fract_z
_atom_site_occupancy
Re1 Re 0.0000 0.5000 0.0000 1
W1 W 0.0000 0.0000 0.5000 1
Br1 Br 0.5000 0.5000 0.5000 1
# calculated volume: 15.99 A^3/atom
# energy relative to the lowest polymorph listed for this composition: 51.11 kJ per mole of atoms



# GGA-PBE TaGa3B, relaxed
data_TaGa3B
_chemical_formula_sum 'Ta1 Ga3 B1'
_space_group_name_H-M_alt 'P m -3 m'
_space_group_IT_number 221
_space_group_name_Hall '-P 4 2 3'
_cell_length_a 5.0480
_cell_length_b 5.0480
_cell_length_c 5.0480
_cell_angle_alpha 90.00
_cell_angle_beta 90.00
_cell_angle_gamma 90.00
loop_
_atom_site_label
_atom_site_type_symbol
_atom_site_fract_x
_atom_site_fract_y
_atom_site_fract_z
_atom_site_occupancy
Ta1 Ta 0.0000 0.0000 0.0000 1
Ga1 Ga 0.0000 0.0000 0.5000 1
B1 B 0.5000 0.5000 0.5000 1
# calculated volume: 25.73 A^3/atom
# ΔE_f: 1458 meV per atom
# energy relative to the lowest polymorph listed for this composition: 62.68 kJ per mole of atoms



# GGA-PBE EuPuAgAs, relaxed
data_EuPuAgAs
_chemical_formula_sum 'Eu4 Pu4 Ag4 As4'
_space_group_name_H-M_alt 'F -4 3 m'
_space_group_IT_number 216
_space_group_name_Hall 'F -4 2 3'
_cell_length_a 7.3707
_cell_length_b 7.3707
_cell_length_c 7.3707
_cell_angle_alpha 90.00
_cell_angle_beta 90.00
_cell_angle_gamma 90.00
loop_
_atom_site_label
_atom_site_type_symbol
_atom_site_fract_x
_atom_site_fract_y
_atom_site_fract_z
_atom_site_occupancy
Eu1 Eu 0.0000 0.0000 0.0000 1
Pu1 Pu 0.0000 0.0000 0.5000 1
Ag1 Ag 0.2500 0.2500 0.7500 1
As1 As 0.2500 0.2500 0.2500 1
# calculated volume: 25.03 A^3/atom
# ΔE_f: -477 meV per atom



# GGA-PBE Sm5GeTe2, relaxed
data_Sm5GeTe2
_chemical_formula_sum 'Sm20 Ge4 Te8'
_space_group_name_H-M_alt 'C m c m'
_space_group_IT_number 63
_space_group_name_Hall '-C 2c 2'
_cell_length_a 6.0249
_cell_length_b 12.6247
_cell_length_c 14.1096
_cell_angle_alpha 90.00
_cell_angle_beta 90.00
_cell_angle_gamma 90.00
loop_
_atom_site_label
_atom_site_type_symbol
_atom_site_fract_x
_atom_site_fract_y
_atom_site_fract_z
_atom_site_occupancy
Sm1 Sm 0.0000 0.0530 0.1243 1
Sm2 Sm 0.0000 0.3046 0.7500 1
Sm3 Sm 0.0000 0.3789 0.0943 1
Ge1 Ge 0.0000 0.2323 0.2500 1
Te1 Te 0.0000 0.1860 0.5568 1
# calculated volume: 33.54 A^3/atom
# VASP energy: -5.0155 eV/atom



# GGA-PBE Te2HRuI, relaxed
data_Te2HRuI
_chemical_formula_sum 'Te2 H1 Ru1 I1'
_space_group_name_H-M_alt 'P 4/m m m'
_space_group_IT_number 123
_space_group_name_Hall '-P 4 2'
_cell_length_a 5.0964
_cell_length_b 5.0964
_cell_length_c 5.9035
_cell_angle_alpha 90.00
_cell_angle_beta 90.00
_cell_angle_gamma 90.00
loop_
_atom_site_label
_atom_site_type_symbol
_atom_site_fract_x
_atom_site_fract_y
_atom_site_fract_z
_atom_site_occupancy
Te1 Te 0.0000 0.5000 0.0000 1
H1 H 0.0000 0.0000 0.5000 1
Ru1 Ru 0.5000 0.5000 0.0000 1
I1 I 0.5000 0.5000 0.5000 1
# calculated volume: 30.67 A^3/atom
# energy relative to the lowest polymorph listed for this composition: 0.00 kJ per mole of atoms



# GGA-PBE Tb4Pr11Er9, relaxed
data_Tb4Pr11Er9
_chemical_formula_sum 'Tb8 Pr22 Er18'
_space_group_name_H-M_alt 'C m m m'
_space_group_IT_number 65
_space_group_name_Hall '-C 2 2'
_cell_length_a 17.0225
_cell_length_b 25.7994
_cell_length_c 3.6808
_cell_angle_alpha 90.00
_cell_angle_beta 90.00
_cell_angle_gamma 90.00
loop_
_atom_site_label
_atom_site_type_symbol
_atom_site_fract_x
_atom_site_fract_y
_atom_site_fract_z
_atom_site_occupancy
Tb1 Tb 0.1572 0.1017 0.0000 1
Pr1 Pr 0.0000 0.1318 0.5000 1
Pr2 Pr 0.0000 0.3398 0.5000 1
Pr3 Pr 0.0000 0.5000 0.5000 1
Pr4 Pr 0.2080 0.0000 0.5000 1
Pr5 Pr 0.2237 0.3188 0.5000 1
Er1 Er 0.0000 0.0000 0.0000 1
Er2 Er 0.1015 0.2327 0.0000 1
Er3 Er 0.1403 0.4274 0.0000 1
# calculated volume: 33.68 A^3/atom
# ΔE_f: 58 meV per atom



# GGA-PBE KAlPt4, relaxed
data_KAlPt4
_chemical_formula_sum 'K4 Al4 Pt16'
_space_group_name_H-M_alt 'F -4 3 m'
_space_group_IT_number 216
_space_group_name_Hall 'F -4 2 3'
_cell_length_a 7.6372
_cell_length_b 7.6372
_cell_length_c 7.6372
_cell_angle_alpha 90.00
_cell_angle_beta 90.00
_cell_angle_gamma 90.00
loop_
_atom_site_label
_atom_site_type_symbol
_atom_site_fract_x
_atom_site_fract_y
_atom_site_fract_z
_atom_site_occupancy
K1 K 0.0000 0.0000 0.0000 1
Al1 Al 0.2500 0.2500 0.2500 1
Pt1 Pt 0.1245 0.1245 0.6245 1
# calculated volume: 18.56 A^3/atom
# ΔE_f: -141 meV per atom



# GGA-PBE Nd7Cu2Ru2, relaxed
data_Nd7Cu2Ru2
_chemical_formula_sum 'Nd14 Cu4 Ru4'
_space_group_name_H-M_alt 'C m m m'
_space_group_IT_number 65
_space_group_name_Hall '-C 2 2'
_cell_length_a 7.6403
_cell_length_b 11.4643
_cell_length_c 7.1260
_cell_angle_alpha 90.00
_cell_angle_beta 90.00
_cell_angle_gamma 90.00
loop_
_atom_site_label
_atom_site_type_symbol
_atom_site_fract_x
_atom_site_fract_y
_atom_site_fract_z
_atom_site_occupancy
Nd1 Nd 0.0000 0.0000 0.0000 1
Nd2 Nd 0.0000 0.5000 0.2567 1
Nd3 Nd 0.2500 0.2500 0.2667 1
Cu1 Cu 0.1607 0.0000 0.5000 1
Ru1 Ru 0.0000 0.3078 0.0000 1
# calculated volume: 28.37 A^3/atom
# ΔE_f: -31 meV per atom



# GGA-PBE Rb3SmTm2Se6, relaxed
data_Rb3SmTm2Se6
_chemical_formula_sum 'Rb6 Sm2 Tm4 Se12'
_space_group_name_H-M_alt 'C 1 2/m 1'
_space_group_IT_number 12
_space_group_name_Hall '-C 2y'
_cell_length_a 7.3392
_cell_length_b 12.7139
_cell_length_c 8.3602
_cell_angle_alpha 90.00
_cell_angle_beta 107.02
_cell_angle_gamma 90.00
loop_
_atom_site_label
_atom_site_type_symbol
_atom_site_fract_x
_atom_site_fract_y
_atom_site_fract_z
_atom_site_occupancy
Rb1 Rb 0.0000 0.0000 0.0000 1
Rb2 Rb 0.0000 0.3349 0.0000 1
Sm1 Sm 0.0000 0.5000 0.5000 1
Tm1 Tm 0.0000 0.1668 0.5000 1
Se1 Se 0.2235 0.0000 0.6947 1
Se2 Se 0.2358 0.3293 0.6952 1
# calculated volume: 31.08 A^3/atom
# VASP energy: -4.8497 eV/atom



# GGA-PBE ScInFe3, relaxed
data_ScInFe3
_chemical_formula_sum 'Sc1 In1 Fe3'
_space_group_name_H-M_alt 'P m -3 m'
_space_group_IT_number 221
_space_group_name_Hall '-P 4 2 3'
_cell_length_a 4.7521
_cell_length_b 4.7521
_cell_length_c 4.7521
_cell_angle_alpha 90.00
_cell_angle_beta 90.00
_cell_angle_gamma 90.00
loop_
_atom_site_label
_atom_site_type_symbol
_atom_site_fract_x
_atom_site_fract_y
_atom_site_fract_z
_atom_site_occupancy
Sc1 Sc 0.0000 0.0000 0.0000 1
In1 In 0.5000 0.5000 0.5000 1
Fe1 Fe 0.0000 0.5000 0.5000 1
# calculated volume: 21.46 A^3/atom
# ΔE_f: 1194 meV per atom
# energy relative to the lowest polymorph listed for this composition: 0.31 kJ per mole of atoms



# GGA-PBE Dy6Rh2C, relaxed
data_Dy6Rh2C
_chemical_formula_sum 'Dy12 Rh4 C2'
_space_group_name_H-M_alt 'P 1 21/c 1'
_space_group_IT_number 14
_space_group_name_Hall '-P 2ybc'
_cell_length_a 6.5081
_cell_length_b 7.0976
_cell_length_c 11.3296
_cell_angle_alpha 90.00
_cell_angle_beta 123.73
_cell_angle_gamma 90.00
loop_
_atom_site_label
_atom_site_type_symbol
_atom_site_fract_x
_atom_site_fract_y
_atom_site_fract_z
_atom_site_occupancy
Dy1 Dy 0.1239 0.0427 0.2440 1
Dy2 Dy 0.2338 0.6968 0.0618 1
Dy3 Dy 0.3680 0.1734 0.0584 1
Rh1 Rh 0.2906 0.0940 0.7547 1
C1 C 0.0000 0.0000 0.0000 1
# calculated volume: 24.18 A^3/atom
# ΔE_f: -526 meV per atom



# GGA-PBE As2RuSe, relaxed
data_As2RuSe
_chemical_formula_sum 'As4 Ru2 Se2'
_space_group_name_H-M_alt 'I m m 2'
_space_group_IT_number 44
_space_group_name_Hall 'I 2 -2'
_cell_length_a 3.0148
_cell_length_b 4.3846
_cell_length_c 11.6244
_cell_angle_alpha 90.00
_cell_angle_beta 90.00
_cell_angle_gamma 90.00
loop_
_atom_site_label
_atom_site_type_symbol
_atom_site_fract_x
_atom_site_fract_y
_atom_site_fract_z
_atom_site_occupancy
As1 As 0.0000 0.0000 0.0000 1
As2 As 0.0000 0.5000 0.1466 1
Ru1 Ru 0.0000 0.5000 0.6851 1
Se1 Se 0.0000 0.0000 0.3582 1
# calculated volume: 19.21 A^3/atom
# VASP energy: -5.3706 eV/atom



# GGA-PBE GdCd, relaxed
data_GdCd
_chemical_formula_sum 'Gd4 Cd4'
_space_group_name_H-M_alt 'C m c m'
_space_group_IT_number 63
_space_group_name_Hall '-C 2c 2'
_cell_length_a 3.6828
_cell_length_b 12.1746
_cell_length_c 4.9119
_cell_angle_alpha 90.00
_cell_angle_beta 90.00
_cell_angle_gamma 90.00
loop_
_atom_site_label
_atom_site_type_symbol
_atom_site_fract_x
_atom_site_fract_y
_atom_site_fract_z
_atom_site_occupancy
Gd1 Gd 0.0000 0.1599 0.2500 1
Cd1 Cd 0.0000 0.4278 0.2500 1
# calculated volume: 27.53 A^3/atom
# ΔE_f: -299 meV per atom



# GGA-PBE Fe3Co4, relaxed
data_Fe3Co4
_chemical_formula_sum 'Fe6 Co8'
_space_group_name_H-M_alt 'I 4 m m'
_space_group_IT_number 107
_space_group_name_Hall 'I 4 -2'
_cell_length_a 2.8225
_cell_length_b 2.8225
_cell_length_c 19.9991
_cell_angle_alpha 90.00
_cell_angle_beta 90.00
_cell_angle_gamma 90.00
loop_
_atom_site_label
_atom_site_type_symbol
_atom_site_fract_x
_atom_site_fract_y
_atom_site_fract_z
_atom_site_occupancy
Fe1 Fe 0.0000 0.0000 0.0000 1
Fe2 Fe 0.0000 0.0000 0.1435 1
Fe3 Fe 0.0000 0.0000 0.4267 1
Co1 Co 0.0000 0.0000 0.2852 1
Co2 Co 0.0000 0.0000 0.5717 1
Co3 Co 0.0000 0.0000 0.7127 1
Co4 Co 0.0000 0.0000 0.8565 1
# calculated volume: 11.38 A^3/atom
# ΔE_f: -6 meV per atom
# energy relative to the lowest polymorph listed for this composition: 3.03 kJ per mole of atoms



# GGA-PBE Cs2MgZnBr6, relaxed
data_Cs2MgZnBr6
_chemical_formula_sum 'Cs4 Mg2 Zn2 Br12'
_space_group_name_H-M_alt 'I 4/m m m'
_space_group_IT_number 139
_space_group_name_Hall '-I 4 2'
_cell_length_a 7.7745
_cell_length_b 7.7745
_cell_length_c 10.8192
_cell_angle_alpha 90.00
_cell_angle_beta 90.00
_cell_angle_gamma 90.00
loop_
_atom_site_label
_atom_site_type_symbol
_atom_site_fract_x
_atom_site_fract_y
_atom_site_fract_z
_atom_site_occupancy
Cs1 Cs 0.0000 0.5000 0.2500 1
Mg1 Mg 0.0000 0.0000 0.0000 1
Zn1 Zn 0.0000 0.0000 0.5000 1
Br1 Br 0.0000 0.0000 0.2737 1
Br2 Br 0.2404 0.2404 0.0000 1
# calculated volume: 32.70 A^3/atom
# energy relative to the lowest polymorph listed for this composition: 3.35 kJ per mole of atoms



# GGA-PBE HfScTl2Se, relaxed
data_HfScTl2Se
_chemical_formula_sum 'Hf1 Sc1 Tl2 Se1'
_space_group_name_H-M_alt 'P 4/m m m'
_space_group_IT_number 123
_space_group_name_Hall '-P 4 2'
_cell_length_a 5.5895
_cell_length_b 5.5895
_cell_length_c 5.1851
_cell_angle_alpha 90.00
_cell_angle_beta 90.00
_cell_angle_gamma 90.00
loop_
_atom_site_label
_atom_site_type_symbol
_atom_site_fract_x
_atom_site_fract_y
_atom_site_fract_z
_atom_site_occupancy
Hf1 Hf 0.0000 0.0000 0.0000 1
Sc1 Sc 0.0000 0.0000 0.5000 1
Tl1 Tl 0.0000 0.5000 0.0000 1
Se1 Se 0.5000 0.5000 0.5000 1
# calculated volume: 32.40 A^3/atom
# VASP energy: -4.2145 eV/atom



# GGA-PBE ZnAg5Sn, relaxed
data_ZnAg5Sn
_chemical_formula_sum 'Zn1 Ag5 Sn1'
_space_group_name_H-M_alt 'P 4/m m m'
_space_group_IT_number 123
_space_group_name_Hall '-P 4 2'
_cell_length_a 4.3852
_cell_length_b 4.3852
_cell_length_c 7.0341
_cell_angle_alpha 90.00
_cell_angle_beta 90.00
_cell_angle_gamma 90.00
loop_
_atom_site_label
_atom_site_type_symbol
_atom_site_fract_x
_atom_site_fract_y
_atom_site_fract_z
_atom_site_occupancy
Zn1 Zn 0.0000 0.0000 0.0000 1
Ag1 Ag 0.0000 0.0000 0.5000 1
Ag2 Ag 0.0000 0.5000 0.2126 1
Sn1 Sn 0.5000 0.5000 0.5000 1
# calculated volume: 19.32 A^3/atom
# ΔE_f: 62 meV per atom
# energy relative to the lowest polymorph listed for this composition: 0.00 kJ per mole of atoms